A relaxed structure of MoSO2F, computed with PBE+U. Values from VASP.

Geometry as Quantum ESPRESSO input:
```
&SYSTEM
  ibrav = 0, nat = 5, ntyp = 4
/
ATOMIC_SPECIES
Mo 95.94 Mo.upf
S 32.06 S.upf
O 16.00 O.upf
F 19.00 F.upf
ATOMIC_POSITIONS crystal
Mo 0.500 0.500 0.500
S 0.000 0.000 0.000
O 0.000 0.500 0.000
O 0.500 0.000 0.000
F 0.000 0.000 0.500
CELL_PARAMETERS angstrom
-1.900 -2.593 1.628
2.210 0.165 2.841
-3.148 3.709 2.234
```

Space group   P4/mmm, No. 123
Crystal system   tetragonal
VASP energy   -4.766 eV per atom